Material: NbB4Mo3
Method: DFT, PBE
State: relaxed

Results
ΔE_f   -444 kJ/mol of formula units
Calculated volume   10.72 Å³ per atom
Size of the total moment   0.0 Bohr magnetons per cell

Cell lengths 6.2257, 3.2062, 8.5947 Å; angles 90.00, 90.00, 90.00 degrees
Space group Amm2 (No. 38)
One atom of each set of equivalent atoms:
Nb 0.0000 0.0000 0.0000 [2 per cell]
B 0.0000 0.0000 0.2939 [2 per cell]
B 0.2523 0.0000 0.4114 [4 per cell]
B 0.5000 0.0000 0.2937 [2 per cell]
Mo 0.2537 0.0000 0.7090 [4 per cell]
Mo 0.5000 0.0000 0.9978 [2 per cell]

***

Material: NbBMo
Method: DFT, PBE
State: relaxed

Results
ΔE_f   -93 kJ/mol of formula units
Calculated volume   13.40 Å³ per atom
E above lowest polymorph   194 meV per atom
Size of the total moment   0.0 Bohr magnetons per cell

Cell lengths 3.2073, 5.0031, 10.0215 Å; angles 90.00, 90.00, 90.00 degrees
Space group Immm (No. 71)
One atom of each set of equivalent atoms:
Nb 0.0000 0.0000 0.2117 [4 per cell]
B 0.0000 0.5000 0.1197 [4 per cell]
Mo 0.0000 0.2527 0.5000 [4 per cell]

***

Material: NbBMo
Method: DFT, PBE
State: relaxed

Results
ΔE_f   -89 kJ/mol of formula units
Calculated volume   13.57 Å³ per atom
E above lowest polymorph   208 meV per atom
Size of the total moment   0.0 Bohr magnetons per cell

Cell lengths 4.5714, 3.2017, 5.7029 Å; angles 90.00, 102.71, 90.00 degrees
Space group P2_1/m (No. 11)
One atom of each set of equivalent atoms:
Nb 0.0661 0.2500 0.2687 [2 per cell]
B 0.3929 0.7500 0.5275 [2 per cell]
Mo 0.4380 0.2500 0.8151 [2 per cell]

***

Material: NbBMo
Method: DFT, PBE
State: relaxed

Results
ΔE_f   -128 kJ/mol of formula units
Calculated volume   13.08 Å³ per atom
E above lowest polymorph   75 meV per atom
Size of the total moment   0.0 Bohr magnetons per cell

Cell lengths 7.9946, 4.9063, 5.6545 Å; angles 90.00, 134.94, 90.00 degrees
Space group Cm (No. 8)
One atom of each set of equivalent atoms:
Nb 0.0000 0.0000 0.0000 [2 per cell]
Nb 0.1646 0.0000 0.6442 [2 per cell]
B 0.3175 0.3038 0.4724 [4 per cell]
Mo 0.1358 0.5000 0.9528 [2 per cell]
Mo 0.4844 0.0000 0.3266 [2 per cell]

***

Material: NbBMo
Method: DFT, PBE
State: relaxed

Results
ΔE_f   -99 kJ/mol of formula units
Calculated volume   13.34 Å³ per atom
E above lowest polymorph   174 meV per atom
Size of the total moment   0.0 Bohr magnetons per cell

Cell lengths 3.1519, 4.6851, 5.8259 Å; angles 74.03, 75.70, 88.70 degrees
Space group P-1 (No. 2)
One atom of each set of equivalent atoms:
Nb 0.1489 0.3094 0.2030 [2 per cell]
B 0.2382 0.8812 0.0395 [2 per cell]
Mo 0.3969 0.2395 0.6521 [2 per cell]

***

Material: NbBMo
Method: DFT, PBE
State: relaxed

Results
ΔE_f   -131 kJ/mol of formula units
Calculated volume   13.21 Å³ per atom
E above lowest polymorph   63 meV per atom
Size of the total moment   0.0 Bohr magnetons per cell

Cell lengths 9.2396, 3.2542, 6.4133 Å; angles 90.00, 124.69, 90.00 degrees
Space group C2/m (No. 12)
One atom of each set of equivalent atoms:
Nb 0.0843 0.0000 0.3419 [4 per cell]
B 0.1134 0.5000 0.6456 [4 per cell]
Mo 0.1861 0.5000 0.0855 [4 per cell]

***

Material: NbBMo
Method: DFT, PBE
State: relaxed

Results
ΔE_f   -149 kJ/mol of formula units
Calculated volume   13.06 Å³ per atom
E above lowest polymorph   0 meV per atom
Size of the total moment   0.0 Bohr magnetons per cell

Cell lengths 3.2764, 15.0168, 3.1857 Å; angles 90.00, 90.00, 90.00 degrees
Space group Cmcm (No. 63)
One atom of each set of equivalent atoms:
Nb 0.0000 0.0863 0.2500 [4 per cell]
B 0.0000 0.4662 0.2500 [4 per cell]
Mo 0.0000 0.2988 0.2500 [4 per cell]

***

Material: Nb2NiBMo
Method: DFT, PBE
State: relaxed

Results
ΔE_f   980 kJ/mol of formula units
Calculated volume   20.05 Å³ per atom
Size of the total moment   0.0 Bohr magnetons per cell

Cell lengths 4.7662, 4.7662, 4.4126 Å; angles 90.00, 90.00, 90.00 degrees
Space group P4/mmm (No. 123)
One atom of each set of equivalent atoms:
Nb 0.0000 0.5000 0.0000 [2 per cell]
Ni 0.0000 0.0000 0.5000 [1 per cell]
B 0.5000 0.5000 0.5000 [1 per cell]
Mo 0.0000 0.0000 0.0000 [1 per cell]

***

Material: NbBMoOs2
Method: DFT, PBE
State: relaxed

Results
ΔE_f   30 kJ/mol of formula units
Calculated volume   14.34 Å³ per atom
Size of the total moment   0.0 Bohr magnetons per cell

Cell lengths 4.0865, 4.0865, 4.2950 Å; angles 90.00, 90.00, 90.00 degrees
Space group P4/mmm (No. 123)
One atom of each set of equivalent atoms:
Nb 0.0000 0.0000 0.0000 [1 per cell]
B 0.0000 0.0000 0.5000 [1 per cell]
Mo 0.5000 0.5000 0.0000 [1 per cell]
Os 0.0000 0.5000 0.5000 [2 per cell]

***

Material: NbBMo2Os
Method: DFT, PBE
State: relaxed

Results
ΔE_f   98 kJ/mol of formula units
Calculated volume   14.89 Å³ per atom
Size of the total moment   0.0 Bohr magnetons per cell

Cell lengths 4.1501, 4.1501, 4.3235 Å; angles 90.00, 90.00, 90.00 degrees
Space group P4/mmm (No. 123)
One atom of each set of equivalent atoms:
Nb 0.0000 0.0000 0.0000 [1 per cell]
B 0.0000 0.0000 0.5000 [1 per cell]
Mo 0.0000 0.5000 0.5000 [2 per cell]
Os 0.5000 0.5000 0.0000 [1 per cell]

***

Material: Nb2BMoPd
Method: DFT, PBE
State: relaxed

Results
ΔE_f   -1 kJ/mol of formula units
Calculated volume   15.78 Å³ per atom
Size of the total moment   0.0 Bohr magnetons per cell

Cell lengths 4.3686, 4.3686, 4.1353 Å; angles 90.00, 90.00, 90.00 degrees
Space group P4/mmm (No. 123)
One atom of each set of equivalent atoms:
Nb 0.0000 0.5000 0.0000 [2 per cell]
B 0.0000 0.0000 0.0000 [1 per cell]
Mo 0.0000 0.0000 0.5000 [1 per cell]
Pd 0.5000 0.5000 0.5000 [1 per cell]

***

Material: RbNbBMo2
Method: DFT, PBE
State: relaxed

Results
ΔE_f   787 kJ/mol of formula units
Calculated volume   19.22 Å³ per atom
Size of the total moment   0.7 Bohr magnetons per cell

Cell lengths 4.2725, 4.2725, 5.2641 Å; angles 90.00, 90.00, 90.00 degrees
Space group P4/mmm (No. 123)
One atom of each set of equivalent atoms:
Rb 0.0000 0.0000 0.0000 [1 per cell]
Nb 0.5000 0.5000 0.0000 [1 per cell]
B 0.0000 0.0000 0.5000 [1 per cell]
Mo 0.0000 0.5000 0.5000 [2 per cell]

***

Material: Nb2B2MoRu5
Method: DFT, PBE
State: relaxed

Results
ΔE_f   -361 kJ/mol of formula units
Calculated volume   13.38 Å³ per atom
Size of the total moment   0.0 Bohr magnetons per cell

Cell lengths 9.5211, 9.5211, 2.9526 Å; angles 90.00, 90.00, 90.00 degrees
Space group P4/mbm (No. 127)
One atom of each set of equivalent atoms:
Nb 0.1774 0.3226 0.0000 [4 per cell]
B 0.1209 0.6209 0.0000 [4 per cell]
Mo 0.0000 0.0000 0.0000 [2 per cell]
Ru 0.0000 0.5000 0.5000 [2 per cell]
Ru 0.0702 0.7802 0.5000 [8 per cell]

***

Material: NbBMoS2
Method: DFT, PBE
State: relaxed

Results
Uncorrected formation energy   1.14 eV per atom
Calculated volume   18.45 Å³ per atom
Size of the total moment   0.0 Bohr magnetons per cell

Cell lengths 4.6958, 4.6958, 4.1837 Å; angles 90.00, 90.00, 90.00 degrees
Space group P4/mmm (No. 123)
One atom of each set of equivalent atoms:
Nb 0.0000 0.0000 0.0000 [1 per cell]
B 0.0000 0.0000 0.5000 [1 per cell]
Mo 0.5000 0.5000 0.5000 [1 per cell]
S 0.0000 0.5000 0.0000 [2 per cell]

***

Material: Sc2NbBMo
Method: DFT, PBE
State: relaxed

Results
ΔE_f   862 kJ/mol of formula units
Calculated volume   23.96 Å³ per atom
Size of the total moment   0.0 Bohr magnetons per cell

Cell lengths 5.1019, 5.1019, 4.6034 Å; angles 90.00, 90.00, 90.00 degrees
Space group P4/mmm (No. 123)
One atom of each set of equivalent atoms:
Sc 0.0000 0.5000 0.0000 [2 per cell]
Nb 0.0000 0.0000 0.0000 [1 per cell]
B 0.5000 0.5000 0.5000 [1 per cell]
Mo 0.0000 0.0000 0.5000 [1 per cell]

***

Material: Nb2SiBMo
Method: DFT, PBE
State: relaxed

Results
Uncorrected formation energy   1.86 eV per atom
Calculated volume   21.12 Å³ per atom
E above lowest polymorph   520 meV per atom
Size of the total moment   0.0 Bohr magnetons per cell

Cell lengths 4.8044, 4.8044, 4.5747 Å; angles 90.00, 90.00, 90.00 degrees
Space group P4/mmm (No. 123)
One atom of each set of equivalent atoms:
Nb 0.0000 0.5000 0.0000 [2 per cell]
Si 0.0000 0.0000 0.5000 [1 per cell]
B 0.5000 0.5000 0.5000 [1 per cell]
Mo 0.0000 0.0000 0.0000 [1 per cell]

***

Material: Nb2SiBMo
Method: DFT, PBE
State: relaxed

Results
Uncorrected formation energy   1.34 eV per atom
Calculated volume   19.06 Å³ per atom
E above lowest polymorph   0 meV per atom
Size of the total moment   0.0 Bohr magnetons per cell

Cell lengths 4.8820, 4.8820, 3.9992 Å; angles 90.00, 90.00, 90.00 degrees
Space group P4/mmm (No. 123)
One atom of each set of equivalent atoms:
Nb 0.0000 0.5000 0.0000 [2 per cell]
Si 0.0000 0.0000 0.5000 [1 per cell]
B 0.5000 0.5000 0.5000 [1 per cell]
Mo 0.5000 0.5000 0.0000 [1 per cell]

***

Material: TaNbB2Mo
Method: DFT, PBE
State: relaxed

Results
ΔE_f   654 kJ/mol of formula units
Calculated volume   16.48 Å³ per atom
Size of the total moment   0.0 Bohr magnetons per cell

Cell lengths 4.1110, 4.1110, 4.8754 Å; angles 90.00, 90.00, 90.00 degrees
Space group P4/mmm (No. 123)
One atom of each set of equivalent atoms:
Ta 0.0000 0.0000 0.0000 [1 per cell]
Nb 0.5000 0.5000 0.0000 [1 per cell]
B 0.0000 0.5000 0.5000 [2 per cell]
Mo 0.0000 0.0000 0.5000 [1 per cell]

***

Material: NdB4Mo
Method: DFT, PBE
State: relaxed

Results
ΔE_f   -307 kJ/mol of formula units
Calculated volume   11.21 Å³ per atom
Size of the total moment   0.0 Bohr magnetons per cell

Cell lengths 6.1255, 11.8475, 3.7074 Å; angles 90.00, 90.00, 90.00 degrees
Space group Pbam (No. 55)
One atom of each set of equivalent atoms:
Nd 0.1249 0.1503 0.0000 [4 per cell]
B 0.0248 0.6910 0.5000 [4 per cell]
B 0.1122 0.5462 0.5000 [4 per cell]
B 0.1370 0.9677 0.5000 [4 per cell]
B 0.2185 0.8154 0.5000 [4 per cell]
Mo 0.1274 0.4175 0.0000 [4 per cell]

***

Material: NdB6Mo2
Method: DFT, PBE
State: relaxed

Results
ΔE_f   -408 kJ/mol of formula units
Calculated volume   10.68 Å³ per atom
Size of the total moment   0.0 Bohr magnetons per cell

Cell lengths 3.1913, 7.0205, 8.5789 Å; angles 90.00, 90.00, 90.00 degrees
Space group Immm (No. 71)
One atom of each set of equivalent atoms:
Nd 0.0000 0.0000 0.0000 [2 per cell]
B 0.0000 0.1578 0.5000 [4 per cell]
B 0.0000 0.2380 0.3053 [8 per cell]
Mo 0.0000 0.5000 0.1555 [4 per cell]